Entry 1:
Computed, not measured: crystalline SrSn6Pd at its relaxed geometry at the PBE level of DFT.

```
8
Lattice="4.453 0.000 0.000 0.000 4.480 5.409 0.000 -4.480 5.409" Properties=species:S:1:pos:R:3 pbc="T T T"
Sr 0.000 0.000 0.000
Sn 0.000 -2.180 2.768
Sn 0.000 2.180 2.768
Sn 2.227 0.000 2.638
Sn 2.227 -1.619 5.370
Sn 2.227 1.619 5.370
Sn 2.227 0.000 8.201
Pd 0.000 0.000 6.430
```

Computed properties:
- E_form: -0.279 eV per atom

Entry 2:
Computed, not measured: crystalline Sr3SnPd3 at its relaxed geometry at the PBE level of DFT.

```
14
Lattice="9.217 0.000 0.000 -4.608 7.982 0.000 0.000 0.000 6.156" Properties=species:S:1:pos:R:3 pbc="T T T"
Sr -2.652 5.551 1.539
Sr 1.127 2.910 1.539
Sr 3.083 0.478 4.617
Sr 1.525 7.504 1.539
Sr 3.481 5.072 4.617
Sr 7.261 2.431 4.617
Sn 0.000 5.321 4.617
Sn 4.608 2.661 1.539
Pd -2.611 5.504 4.617
Pd 1.147 2.969 4.617
Pd 3.145 0.491 1.539
Pd 1.464 7.491 4.617
Pd 3.461 5.013 1.539
Pd 7.220 2.478 1.539
```

Computed properties:
- E_form: -0.444 eV per atom

Entry 3:
Computed, not measured: crystalline SrSn4Pd12 at its relaxed geometry at the PBE level of DFT.

```
17
Lattice="-4.479 4.479 4.479 4.479 -4.479 4.479 4.479 4.479 -4.479" Properties=species:S:1:pos:R:3 pbc="T T T"
Sr 0.000 0.000 0.000
Sn 2.240 2.240 -2.240
Sn 2.240 -2.240 2.240
Sn -2.240 2.240 2.240
Sn 2.240 2.240 2.240
Pd 3.167 0.000 1.358
Pd 5.792 0.000 1.358
Pd 4.479 3.121 -1.312
Pd 1.358 3.167 0.000
Pd 3.121 -1.312 4.479
Pd 4.479 3.121 1.312
Pd 0.000 1.358 3.167
Pd 1.358 5.792 0.000
Pd 3.121 1.312 4.479
Pd 0.000 1.358 5.792
Pd -1.312 4.479 3.121
Pd 1.312 4.479 3.121
```

Computed properties:
- E_form: -0.137 eV per atom

Entry 4:
Computed, not measured: crystalline Sr3Sn6Pd5 at its relaxed geometry at the PBE level of DFT.

```
28
Lattice="4.538 0.000 0.000 0.000 13.780 0.000 0.000 0.000 10.891" Properties=species:S:1:pos:R:3 pbc="T T T"
Sr 1.134 1.126 2.618
Sr 1.134 5.764 2.618
Sr 1.134 10.335 2.859
Sr 3.403 3.445 8.032
Sr 3.403 8.016 8.274
Sr 3.403 12.654 8.274
Sn 1.134 0.793 6.491
Sn 1.134 3.445 4.951
Sn 1.134 3.445 10.782
Sn 1.134 6.097 6.491
Sn 1.134 8.033 0.048
Sn 1.134 12.637 0.048
Sn 3.403 1.143 10.844
Sn 3.403 5.747 10.844
Sn 3.403 7.684 4.401
Sn 3.403 10.335 0.109
Sn 3.403 10.335 5.940
Sn 3.403 12.987 4.401
Pd 1.134 1.125 9.252
Pd 1.134 5.765 9.252
Pd 1.134 8.783 5.726
Pd 1.134 10.335 9.483
Pd 1.134 11.887 5.726
Pd 3.403 1.893 5.165
Pd 3.403 3.445 1.409
Pd 3.403 4.997 5.165
Pd 3.403 8.016 1.639
Pd 3.403 12.655 1.639
```

Computed properties:
- E_form: -0.653 eV per atom

Entry 5:
Computed, not measured: crystalline Sr3Sn2Pd at its relaxed geometry at the PBE level of DFT.

```
24
Lattice="13.185 0.000 0.000 0.000 4.658 0.000 0.000 0.000 13.099" Properties=species:S:1:pos:R:3 pbc="T T T"
Sr 0.740 1.165 1.587
Sr 1.478 3.494 7.231
Sr 2.856 1.165 10.445
Sr 3.736 3.494 3.895
Sr 5.115 1.165 0.681
Sr 5.852 3.494 8.137
Sr 7.332 1.165 4.962
Sr 8.070 3.494 12.419
Sr 9.448 1.165 9.204
Sr 10.329 3.494 2.655
Sr 11.707 1.165 5.869
Sr 12.445 3.494 11.512
Sn 0.347 3.494 4.021
Sn 2.673 3.494 13.000
Sn 3.920 1.165 6.451
Sn 6.245 1.165 10.571
Sn 6.940 3.494 2.528
Sn 9.265 3.494 6.649
Sn 10.512 1.165 0.099
Sn 12.837 1.165 9.078
Pd 1.655 1.165 4.827
Pd 4.937 3.494 11.377
Pd 8.247 1.165 1.722
Pd 11.530 3.494 8.272
```

Computed properties:
- E_form: -0.654 eV per atom

Entry 6:
Computed, not measured: crystalline SrSnPd6 at its relaxed geometry at the PBE level of DFT.

```
8
Lattice="3.493 2.017 3.982 -3.493 2.017 3.982 0.000 -4.034 3.982" Properties=species:S:1:pos:R:3 pbc="T T T"
Sr 0.000 0.000 0.000
Sn 0.000 0.000 5.973
Pd -2.150 -1.241 5.233
Pd 0.000 -2.483 6.713
Pd -2.150 1.241 6.713
Pd 2.150 -1.241 5.233
Pd 0.000 2.483 5.233
Pd 2.150 1.241 6.713
```

Computed properties:
- E_form: -0.176 eV per atom

Entry 7:
Computed, not measured: crystalline SrSnPd at its relaxed geometry at the PBE level of DFT.

```
12
Lattice="6.719 0.000 0.000 0.000 6.820 0.000 -4.445 0.000 7.121" Properties=species:S:1:pos:R:3 pbc="T T T"
Sr -0.404 0.959 2.948
Sr -2.627 2.452 6.508
Sr 4.900 4.369 0.613
Sr 2.678 5.862 4.173
Sn -0.895 4.276 4.018
Sn 1.327 5.954 0.457
Sn 0.947 0.866 6.664
Sn 3.169 2.544 3.103
Pd 1.092 4.037 2.247
Pd -1.130 6.194 5.808
Pd 3.404 0.627 1.313
Pd 1.182 2.783 4.874
```

Computed properties:
- E_form: -0.755 eV per atom

Entry 8:
Computed, not measured: crystalline Sr2Sn5Pd3 at its relaxed geometry at the PBE level of DFT.

```
20
Lattice="-5.687 6.547 3.312 5.687 -6.547 3.312 5.687 6.547 -3.312" Properties=species:S:1:pos:R:3 pbc="T T T"
Sr 2.660 1.845 0.000
Sr 2.660 -1.845 3.312
Sr 3.027 8.391 0.000
Sr 3.027 4.702 3.312
Sn 5.687 -3.011 1.656
Sn 7.500 1.224 0.000
Sn 0.000 0.000 1.656
Sn 1.813 5.323 0.000
Sn 5.687 3.011 1.656
Sn 0.000 3.536 1.656
Sn 3.874 1.224 3.312
Sn 0.000 0.000 4.968
Sn -1.813 5.323 3.312
Sn 0.000 9.557 1.656
Pd 4.409 -4.765 3.312
Pd 5.687 0.000 1.656
Pd 4.409 4.765 0.000
Pd 1.278 1.782 3.312
Pd 0.000 6.547 1.656
Pd 1.278 11.312 0.000
```

Computed properties:
- E_form: -0.659 eV per atom

Entry 9:
Computed, not measured: crystalline Sr6SnPd2 at its relaxed geometry at the PBE level of DFT.

```
9
Lattice="0.000 7.206 8.304 2.777 0.000 8.304 2.777 7.206 0.000" Properties=species:S:1:pos:R:3 pbc="T T T"
Sr 2.777 5.431 2.879
Sr 2.777 8.982 2.879
Sr 2.777 5.311 8.304
Sr 2.777 9.102 8.304
Sr 2.777 5.431 13.729
Sr 2.777 8.982 13.729
Sn 0.000 0.000 0.000
Pd 2.777 7.206 5.667
Pd 2.777 7.206 10.941
```

Computed properties:
- E_form: -0.403 eV per atom

Entry 10:
Computed, not measured: crystalline SrSn8Pd2 at its relaxed geometry at the PBE level of DFT.

```
11
Lattice="4.412 -6.778 0.000 4.412 6.778 0.000 -0.708 0.000 4.869" Properties=species:S:1:pos:R:3 pbc="T T T"
Sr 0.000 0.000 0.000
Sn 1.351 1.921 2.886
Sn 4.412 3.380 0.000
Sn 1.351 -1.921 2.886
Sn 3.287 0.000 0.964
Sn 4.829 0.000 3.905
Sn 6.765 1.921 1.983
Sn 4.412 -3.380 0.000
Sn 6.765 -1.921 1.983
Pd 4.058 2.279 2.434
Pd 4.058 -2.279 2.434
```

Computed properties:
- E_form: -0.263 eV per atom

Entry 11:
Computed, not measured: crystalline Sr2SnTePd at its relaxed geometry at the PBE level of DFT.

```
5
Lattice="5.941 0.000 0.000 0.000 5.941 0.000 0.000 0.000 4.959" Properties=species:S:1:pos:R:3 pbc="T T T"
Sr 0.000 2.970 0.000
Sr 2.970 0.000 0.000
Sn 0.000 0.000 2.480
Te 2.970 2.970 2.480
Pd 0.000 0.000 0.000
```

Computed properties:
- Raw formation energy: -367 kJ/mol of formula units

Entry 12:
Computed, not measured: crystalline Sr2ThSnPd6 at its relaxed geometry at the PBE level of DFT.

```
10
Lattice="0.000 5.160 5.160 5.160 0.000 5.160 5.160 5.160 0.000" Properties=species:S:1:pos:R:3 pbc="T T T"
Sr 2.580 2.580 2.580
Sr 7.740 7.740 7.740
Th 0.000 0.000 0.000
Sn 5.160 5.160 5.160
Pd 5.160 5.160 2.605
Pd 5.160 2.605 5.160
Pd 7.714 5.160 5.160
Pd 2.605 5.160 5.160
Pd 5.160 7.714 5.160
Pd 5.160 5.160 7.714
```

Computed properties:
- E_form: -0.197 eV per atom

| no. | raw total energy (eV/atom) |
| --- | --- |
| 1 | -4.140 |
| 2 | -3.962 |
| 3 | -4.843 |
| 4 | -4.584 |
| 5 | -3.695 |
| 6 | -4.781 |
| 7 | -4.381 |
| 8 | -4.555 |
| 9 | -3.123 |
| 10 | -4.271 |
| 11 | -3.902 |
| 12 | -4.791 |